A relaxed KGaIBr2 crystal, computed with GGA-PBE.

**SG**: P4/mmm, No. 123
**Total DFT energy (no corrections)**: -0.2031 Ry per atom
**Spin magnetization**: 0.00 μB/f.u.

abc: 5.452 5.452 5.824
angles: 90.00 90.00 90.00
Atoms (fractional coordinates):
1 K 0.000 0.000 0.000
2 Ga 0.500 0.500 0.500
3 I 0.500 0.500 0.000
4 Br 0.000 0.500 0.500
5 Br 0.500 0.000 0.500